Sm6HoSc | PBE-GGA | relaxed

The value obtained for the energy above the most stable polymorph in this dataset is 0 meV/atom. The energy is -39.0 eV/cell. As for the magnetization: 0.00 μB/f.u. The density is 7.2 Mg/m³. For the formation energy, the calculation gives 29.5 meV per atom.

The space group is P4/mmm (No. 123) and the conventional cell measures 5.0476, 5.0476 and 10.0879 Å, with angles of 90.00, 90.00 and 90.00 degrees. Symmetry generates all atoms from Sm at (0.0000, 0.0000, 0.0000), Sm at (0.0000, 0.0000, 0.5000), Sm at (0.0000, 0.5000, 0.2454), Ho at (0.5000, 0.5000, 0.5000) and Sc at (0.5000, 0.5000, 0.0000).